# 1
This record from the Alexandria database describes CdCuSI2 after structural relaxation. The functional is GGA-PBE.

Values from the calculation:
Total magnetic moment (μB/f.u.): 0.0
ρ (g/cm3): 5.060
D(E_F) (states/eV/f.u.): 3.1
Formation energy from raw total energies (eV per atom): 0.2028

Unit cell a=5.9635 b=5.9635 c=4.2614 alpha=90.00 beta=90.00 gamma=90.00
Closest atoms and distances in Å follow each position.
Fractional positions:
Cd1 0.0000 0.0000 0.0000  8 I 3.66
Cu1 0.5000 0.5000 0.0000  2 S 2.13
S1 0.5000 0.5000 0.5000  2 Cu 2.13
I1 0.0000 0.5000 0.5000  2 S 2.98
I2 0.5000 0.0000 0.5000  2 S 2.98

---

# 2
This record from the Alexandria database describes U2Ta after structural relaxation. The functional is GGA-PBE.

Values from the calculation:
Total magnetic moment (μB/f.u.): 0.0
ΔH_f (0 K) (eV per atom): 0.180
ρ (g/cm3): 18.177
D(E_F) (states/eV/f.u.): 6.7

Unit cell a=5.5446 b=5.5446 c=5.5446 alpha=143.48 beta=143.48 gamma=52.61
Closest atoms and distances in Å follow each position.
Fractional positions:
U1 0.1838 0.1838 0.0000  4 U 2.79, 4 Ta 3.06
U2 0.8162 0.8162 0.0000  4 U 2.79, 4 Ta 3.06
Ta1 0.5000 0.5000 0.0000  10 U 3.06-3.14

---

# 3
This record from the Alexandria database describes Dy6Ge2Te3Pb after structural relaxation. The functional is GGA-PBE.

Values from the calculation:
Total magnetic moment (μB/f.u.): 0.0
ρ (g/cm3): 8.280
D(E_F) (states/eV/f.u.): 2.2
Formation energy from raw total energies (eV per atom): -1.0964

Unit cell a=9.6894 b=9.6894 c=8.7279 alpha=103.38 beta=103.38 gamma=25.53
Closest atoms and distances in Å follow each position.
Fractional positions:
Dy1 0.0099 0.0099 0.2529  1 Ge 2.90, 2 Pb 3.05, 3 Te 3.08-3.19
Dy2 0.3256 0.3256 0.4328  3 Ge 2.90-2.92, 3 Te 3.19-3.21
Dy3 0.3322 0.3322 0.8915  2 Ge 2.92, 1 Pb 3.09, 3 Te 3.10-3.21
Dy4 0.6678 0.6678 0.1085  2 Ge 2.92, 1 Pb 3.09, 3 Te 3.10-3.21
Dy5 0.6744 0.6744 0.5672  3 Ge 2.90-2.92, 3 Te 3.19-3.21
Dy6 0.9901 0.9901 0.7471  1 Ge 2.90, 2 Pb 3.05, 3 Te 3.08-3.19
Ge1 0.1679 0.1679 0.3362  6 Dy 2.90-2.92
Ge2 0.8321 0.8321 0.6638  6 Dy 2.90-2.92
Te1 0.1640 0.1640 0.8326  6 Dy 3.10-3.21
Te2 0.5000 0.5000 0.5000  6 Dy 3.08-3.21
Te3 0.8360 0.8360 0.1674  6 Dy 3.10-3.21
Pb1 0.5000 0.5000 0.0000  6 Dy 3.05-3.09

---

# 4
This record from the Alexandria database describes Np2NiGe3Ir4 after structural relaxation. The functional is GGA-PBE.

Values from the calculation:
Total magnetic moment (μB/f.u.): 7.1
ΔH_f (0 K) (eV per atom): -0.377
ρ (g/cm3): 14.251
D(E_F) (states/eV/f.u.): 22.6

Unit cell a=4.0874 b=4.0874 c=10.5978 alpha=90.00 beta=90.00 gamma=90.00
Closest atoms and distances in Å follow each position.
Fractional positions:
Np1 0.0000 0.5000 0.2393  8 Ir 3.07-3.44, 6 Ge 3.20-3.26, 2 Ni 3.26
Np2 0.5000 0.0000 0.7607  8 Ir 3.07-3.44, 6 Ge 3.20-3.26, 2 Ni 3.26
Ni1 0.5000 0.5000 0.0000  4 Ir 2.53
Ge1 0.0000 0.0000 0.0000  4 Ir 2.53
Ge2 0.0000 0.5000 0.6308  5 Ir 2.42-2.47
Ge3 0.5000 0.0000 0.3692  5 Ir 2.42-2.47
Ir1 0.0000 0.0000 0.5000  4 Ge 2.47
Ir2 0.0000 0.5000 0.8595  3 Ge 2.42-2.53, 2 Ni 2.53
Ir3 0.5000 0.0000 0.1405  3 Ge 2.42-2.53, 2 Ni 2.53
Ir4 0.5000 0.5000 0.5000  4 Ge 2.47

---

# 5
This record from the Alexandria database describes Al21Pt8 after structural relaxation. The functional is GGA-PBE.

Values from the calculation:
Total magnetic moment (μB/f.u.): 0.0
ΔH_f (0 K) (eV per atom): -0.767
ρ (g/cm3): 7.725
D(E_F) (states/eV/f.u.): 6.2

Unit cell a=10.6742 b=10.6742 c=10.6742 alpha=104.72 beta=104.72 gamma=119.46
Closest atoms and distances in Å follow each position.
Fractional positions:
Al1 0.0155 0.9286 0.5906  4 Pt 2.59-2.68, 4 Al 2.71-2.80
Al2 0.0645 0.6718 0.2866  3 Pt 2.60-2.75, 7 Al 2.66-2.88
Al3 0.0752 0.4845 0.4131  4 Pt 2.59-2.68, 4 Al 2.71-2.80
Al4 0.0772 0.8051 0.0876  3 Pt 2.55-2.73, 2 Al 2.66-2.84
Al5 0.1148 0.2221 0.7866  3 Pt 2.60-2.75, 7 Al 2.66-2.88
Al6 0.1403 0.8809 0.8221  4 Pt 2.59-2.76, 5 Al 2.77-2.85
Al7 0.1621 0.5752 0.0906  4 Pt 2.59-2.68, 4 Al 2.71-2.80
Al8 0.1718 0.3852 0.6073  3 Pt 2.60-2.75, 7 Al 2.66-2.88
Al9 0.1772 0.1358 0.0221  4 Pt 2.57-2.69, 3 Al 2.77-2.86
Al10 0.1818 0.3597 0.2406  4 Pt 2.59-2.76, 5 Al 2.77-2.85
Al11 0.2176 0.9896 0.4124  3 Pt 2.55-2.73, 2 Al 2.66-2.84
Al12 0.2779 0.5645 0.8927  3 Pt 2.60-2.75, 7 Al 2.66-2.88
Al13 0.3051 0.7176 0.7279  3 Pt 2.55-2.73, 2 Al 2.66-2.84
Al14 0.3449 0.3228 0.4586  4 Pt 2.57-2.69, 3 Al 2.77-2.86
Al15 0.3642 0.8862 0.0414  4 Pt 2.57-2.69, 3 Al 2.77-2.86
Al16 0.3750 0.1250 0.2500  4 Pt 2.67, 8 Al 2.86-2.88
Al17 0.3809 0.0588 0.7406  4 Pt 2.59-2.76, 5 Al 2.77-2.85
Al18 0.3862 0.8449 0.5221  4 Pt 2.57-2.69, 3 Al 2.77-2.86
Al19 0.4286 0.3379 0.9131  4 Pt 2.59-2.68, 4 Al 2.71-2.80
Al20 0.4412 0.6818 0.3221  4 Pt 2.59-2.76, 5 Al 2.77-2.85
Al21 0.4896 0.5772 0.7721  3 Pt 2.55-2.73, 2 Al 2.66-2.84
Al22 0.5104 0.4228 0.2279  3 Pt 2.55-2.73, 2 Al 2.66-2.84
Al23 0.5588 0.3182 0.6779  4 Pt 2.59-2.76, 5 Al 2.77-2.85
Al24 0.5714 0.6621 0.0869  4 Pt 2.59-2.68, 4 Al 2.71-2.80
Al25 0.6138 0.1551 0.4779  4 Pt 2.57-2.69, 3 Al 2.77-2.86
Al26 0.6191 0.9412 0.2594  4 Pt 2.59-2.76, 5 Al 2.77-2.85
Al27 0.6250 0.8750 0.7500  4 Pt 2.67, 8 Al 2.86-2.88
Al28 0.6358 0.1138 0.9586  4 Pt 2.57-2.69, 3 Al 2.77-2.86
Al29 0.6551 0.6772 0.5414  4 Pt 2.57-2.69, 3 Al 2.77-2.86
Al30 0.6949 0.2824 0.2721  3 Pt 2.55-2.73, 2 Al 2.66-2.84
Al31 0.7221 0.4355 0.1073  3 Pt 2.60-2.75, 7 Al 2.66-2.88
Al32 0.7824 0.0104 0.5876  3 Pt 2.55-2.73, 2 Al 2.66-2.84
Al33 0.8182 0.6403 0.7594  4 Pt 2.59-2.76, 5 Al 2.77-2.85
Al34 0.8228 0.8642 0.9779  4 Pt 2.57-2.69, 3 Al 2.77-2.86
Al35 0.8282 0.6148 0.3927  3 Pt 2.60-2.75, 7 Al 2.66-2.88
Al36 0.8379 0.4248 0.9094  4 Pt 2.59-2.68, 4 Al 2.71-2.80
Al37 0.8597 0.1191 0.1779  4 Pt 2.59-2.76, 5 Al 2.77-2.85
Al38 0.8852 0.7779 0.2134  3 Pt 2.60-2.75, 7 Al 2.66-2.88
Al39 0.9228 0.1949 0.9124  3 Pt 2.55-2.73, 2 Al 2.66-2.84
Al40 0.9248 0.5155 0.5869  4 Pt 2.59-2.68, 4 Al 2.71-2.80
Al41 0.9355 0.3282 0.7134  3 Pt 2.60-2.75, 7 Al 2.66-2.88
Al42 0.9845 0.0714 0.4094  4 Pt 2.59-2.68, 4 Al 2.71-2.80
Pt1 0.0684 0.6315 0.8665  9 Al 2.55-2.68
Pt2 0.0900 0.0634 0.2125  10 Al 2.57-2.76
Pt3 0.1315 0.7650 0.5631  9 Al 2.55-2.68
Pt4 0.2650 0.2019 0.6335  9 Al 2.55-2.68
Pt5 0.2981 0.4316 0.0631  9 Al 2.55-2.68
Pt6 0.3508 0.8775 0.2875  10 Al 2.57-2.76
Pt7 0.3775 0.5900 0.5267  10 Al 2.57-2.76
Pt8 0.4366 0.1492 0.0267  10 Al 2.57-2.76
Pt9 0.5634 0.8508 0.9733  10 Al 2.57-2.76
Pt10 0.6225 0.4100 0.4733  10 Al 2.57-2.76
Pt11 0.6492 0.1225 0.7125  10 Al 2.57-2.76
Pt12 0.7019 0.5684 0.9369  9 Al 2.55-2.68
Pt13 0.7350 0.7981 0.3665  9 Al 2.55-2.68
Pt14 0.8685 0.2350 0.4369  9 Al 2.55-2.68
Pt15 0.9100 0.9366 0.7875  10 Al 2.57-2.76
Pt16 0.9316 0.3685 0.1335  9 Al 2.55-2.68

---

# 6
This record from the Alexandria database describes NbRe2HIr after structural relaxation. The functional is GGA-PBE.

Values from the calculation:
Total magnetic moment (μB/f.u.): 0.0
Excess energy over the best structure of this formula in the dataset (meV/atom): 33.4
ρ (g/cm3): 17.025
D(E_F) (states/eV/f.u.): 3.5

Unit cell a=3.9951 b=3.9951 c=4.0242 alpha=90.00 beta=90.00 gamma=90.00
Closest atoms and distances in Å follow each position.
Fractional positions:
Nb1 0.0000 0.0000 0.0000  4 Ir 2.82, 8 Re 2.84
Re1 0.0000 0.5000 0.5000  2 H 2.00
Re2 0.5000 0.0000 0.5000  2 H 2.00
H1 0.5000 0.5000 0.5000  4 Re 2.00, 2 Ir 2.01
Ir1 0.5000 0.5000 0.0000  2 H 2.01

---

# 7
This record from the Alexandria database describes Tb2Pr2Hg3 after structural relaxation. The functional is GGA-PBE.

Values from the calculation:
Total magnetic moment (μB/f.u.): 1.1
ΔH_f (0 K) (eV per atom): -0.324
ρ (g/cm3): 9.582
D(E_F) (states/eV/f.u.): 9.2

Unit cell a=9.1756 b=9.1756 c=9.1756 alpha=33.38 beta=33.38 gamma=33.38
Closest atoms and distances in Å follow each position.
Fractional positions:
Tb1 0.1227 0.1227 0.1227  7 Hg 3.18-3.25
Tb2 0.8773 0.8773 0.8773  7 Hg 3.18-3.25
Pr1 0.3725 0.3725 0.3725  5 Hg 3.28-3.31, 3 Pr 3.66
Pr2 0.6275 0.6275 0.6275  5 Hg 3.28-3.31, 3 Pr 3.66
Hg1 0.2463 0.2463 0.2463  4 Tb 3.18-3.21, 4 Pr 3.28-3.29
Hg2 0.5000 0.5000 0.5000  6 Tb 3.25, 2 Pr 3.31
Hg3 0.7537 0.7537 0.7537  4 Tb 3.18-3.21, 4 Pr 3.28-3.29

---

# 8
This record from the Alexandria database describes ScCdMo2 after structural relaxation. The functional is GGA-PBE.

Values from the calculation:
Total magnetic moment (μB/f.u.): 0.0
ΔH_f (0 K) (eV per atom): 0.206
ρ (g/cm3): 7.557
D(E_F) (states/eV/f.u.): 3.3

Unit cell a=9.3762 b=9.3762 c=9.3762 alpha=19.05 beta=19.05 gamma=19.05
Closest atoms and distances in Å follow each position.
Fractional positions:
Sc1 0.0000 0.0000 0.0000  3 Mo 2.87, 6 Sc 3.10, 3 Cd 3.20
Cd1 0.7626 0.7626 0.7626  3 Mo 3.07, 6 Cd 3.10, 3 Sc 3.20
Mo1 0.2523 0.2523 0.2523  3 Mo 2.56
Mo2 0.5196 0.5196 0.5196  3 Mo 2.56

---

# 9
This record from the Alexandria database describes TmVZn4 after structural relaxation. The functional is GGA-PBE.

Values from the calculation:
Total magnetic moment (μB/f.u.): 3.2
ΔH_f (0 K) (eV per atom): -0.171
ρ (g/cm3): 8.048
D(E_F) (states/eV/f.u.): 2.7

Unit cell a=5.1987 b=5.1987 c=5.1987 alpha=60.00 beta=60.00 gamma=60.00
Closest atoms and distances in Å follow each position.
Fractional positions:
Tm1 0.0000 0.0000 0.0000  12 Zn 3.05, 4 V 3.18
V1 0.2500 0.2500 0.2500  12 Zn 3.05, 4 Tm 3.18
Zn1 0.1274 0.6242 0.6242  6 Zn 2.58-2.62
Zn2 0.6242 0.1274 0.6242  6 Zn 2.58-2.62
Zn3 0.6242 0.6242 0.1274  6 Zn 2.58-2.62
Zn4 0.6242 0.6242 0.6242  6 Zn 2.58-2.62

---

# 10
This record from the Alexandria database describes CeTmHgIr after structural relaxation. The functional is GGA-PBE.

Values from the calculation:
Total magnetic moment (μB/f.u.): 0.8
ΔH_f (0 K) (eV per atom): -0.517
ρ (g/cm3): 12.597
D(E_F) (states/eV/f.u.): 6.2

Unit cell a=5.0768 b=5.0768 c=5.0768 alpha=60.00 beta=60.00 gamma=60.00
Closest atoms and distances in Å follow each position.
Fractional positions:
Ce1 0.0000 0.0000 0.0000  4 Hg 3.11, 4 Ir 3.11
Tm1 0.5000 0.5000 0.5000  4 Ir 3.11, 4 Hg 3.11
Hg1 0.2500 0.2500 0.2500  4 Tm 3.11, 4 Ce 3.11
Ir1 0.7500 0.7500 0.7500  4 Ce 3.11, 4 Tm 3.11

---

# 11
This record from the Alexandria database describes GeSeNO2 after structural relaxation. The functional is GGA-PBE.

Values from the calculation:
Total magnetic moment (μB/f.u.): 0.0
ρ (g/cm3): 5.519
D(E_F) (states/eV/f.u.): 2.8
Formation energy from raw total energies (eV per atom): 0.4160

Unit cell a=3.8701 b=3.8701 c=3.9698 alpha=90.00 beta=90.00 gamma=90.00
Closest atoms and distances in Å follow each position.
Fractional positions:
Ge1 0.0000 0.0000 0.0000  4 N 2.74, 8 O 2.77
Se1 0.5000 0.5000 0.5000  4 O 1.94, 2 N 1.98
N1 0.5000 0.5000 0.0000  2 Se 1.98
O1 0.0000 0.5000 0.5000  2 Se 1.94
O2 0.5000 0.0000 0.5000  2 Se 1.94

---

# 12
This record from the Alexandria database describes SrMg2Hg after structural relaxation. The functional is GGA-PBE.

Values from the calculation:
Total magnetic moment (μB/f.u.): 0.0
ΔH_f (0 K) (eV per atom): -0.253
ρ (g/cm3): 4.836
D(E_F) (states/eV/f.u.): 2.7

Unit cell a=4.4609 b=4.4609 c=11.6229 alpha=90.00 beta=90.00 gamma=90.00
Closest atoms and distances in Å follow each position.
Fractional positions:
Sr1 0.2500 0.2500 0.2369  4 Hg 3.34, 5 Mg 3.56-3.71
Sr2 0.7500 0.7500 0.7631  4 Hg 3.34, 5 Mg 3.56-3.71
Mg1 0.2500 0.2500 0.9308  1 Hg 3.04
Mg2 0.2500 0.7500 0.5000  4 Hg 2.97, 4 Mg 3.15
Mg3 0.7500 0.2500 0.5000  4 Hg 2.97, 4 Mg 3.15
Mg4 0.7500 0.7500 0.0692  1 Hg 3.04
Hg1 0.2500 0.2500 0.6693  5 Mg 2.97-3.04
Hg2 0.7500 0.7500 0.3307  5 Mg 2.97-3.04